Entry 1:
{"formula": "ZrSc9Tl2", "functional": "PBE", "state": "optimized geometry", "lattice_angstrom": [[4.525, 0.000, 0.000], [0.000, 4.525, 0.000], [0.000, 0.000, 13.762]], "species": ["Zr", "Sc", "Sc", "Sc", "Sc", "Sc", "Sc", "Sc", "Sc", "Sc", "Tl", "Tl"], "fractional_positions": [[0.000, 0.000, 0.000], [0.000, 0.500, 0.165], [0.000, 0.500, 0.500], [0.000, 0.500, 0.835], [0.500, 0.000, 0.165], [0.500, 0.000, 0.500], [0.500, 0.000, 0.835], [0.500, 0.500, 0.000], [0.500, 0.500, 0.337], [0.500, 0.500, 0.663], [0.000, 0.000, 0.335], [0.000, 0.000, 0.665]], "space_group": "P4/mmm (123)", "e_tot_ev_per_atom": -5.99, "dos_at_fermi_per_ev_cell": 13.94}



Entry 2:
{"formula": "La3NiI2", "functional": "PBE", "state": "optimized geometry", "lattice_angstrom": [[3.799, -6.589, 0.000], [3.799, 6.589, 0.000], [-2.563, 0.000, 7.944]], "species": ["La", "La", "La", "La", "La", "La", "Ni", "Ni", "I", "I", "I", "I"], "fractional_positions": [[0.059, 0.433, 0.805], [0.191, 0.191, 0.192], [0.433, 0.059, 0.805], [0.567, 0.941, 0.195], [0.809, 0.809, 0.808], [0.941, 0.567, 0.195], [0.168, 0.832, 0.000], [0.832, 0.168, 0.000], [0.000, 0.000, 0.500], [0.346, 0.654, 0.500], [0.500, 0.500, 0.000], [0.654, 0.346, 0.500]], "space_group": "C2/m (12)", "raw_formation_energy_kj_per_mol_atoms": -81.4, "dos_at_fermi_per_ev_cell": 5.04}



Entry 3:
{"formula": "BaHgBi2Pb2", "functional": "PBE", "state": "optimized geometry", "lattice_angstrom": [[7.259, 0.000, 0.000], [0.000, 10.847, 0.000], [0.000, 0.000, 5.283]], "species": ["Ba", "Ba", "Hg", "Hg", "Bi", "Bi", "Bi", "Bi", "Pb", "Pb", "Pb", "Pb"], "fractional_positions": [[0.000, 0.000, 0.000], [0.500, 0.500, 0.500], [0.000, 0.500, 0.500], [0.500, 0.000, 0.000], [0.247, 0.321, 0.000], [0.253, 0.821, 0.500], [0.747, 0.179, 0.500], [0.753, 0.679, 0.000], [0.188, 0.649, 0.000], [0.312, 0.149, 0.500], [0.688, 0.851, 0.500], [0.812, 0.351, 0.000]], "space_group": "Pnnm (58)", "e_tot_ev_per_atom": -3.23, "dos_at_fermi_per_ev_cell": 1.50}



Entry 4:
{"formula": "CdPb2Au2", "functional": "PBE", "state": "optimized geometry", "lattice_angstrom": [[8.587, 0.000, 0.000], [0.000, 8.587, 0.000], [0.000, 0.000, 3.504]], "species": ["Cd", "Cd", "Pb", "Pb", "Pb", "Pb", "Au", "Au", "Au", "Au"], "fractional_positions": [[0.000, 0.000, 0.000], [0.500, 0.500, 0.000], [0.173, 0.327, 0.000], [0.327, 0.827, 0.000], [0.673, 0.173, 0.000], [0.827, 0.673, 0.000], [0.123, 0.623, 0.500], [0.377, 0.123, 0.500], [0.623, 0.877, 0.500], [0.877, 0.377, 0.500]], "space_group": "P4/mbm (127)", "de_polymorph_ev_per_fu": 0.69, "dos_at_fermi_per_ev_cell": 3.30}



Entry 5:
{"formula": "CaCe2TmP4", "functional": "PBE", "state": "optimized geometry", "lattice_angstrom": [[6.978, 0.000, 0.000], [0.000, 4.079, 0.000], [-2.382, 0.000, 6.675]], "species": ["Ca", "Ce", "Ce", "Tm", "P", "P", "P", "P"], "fractional_positions": [[0.000, 0.000, 0.000], [0.500, 0.000, 0.500], [0.500, 0.500, 0.000], [0.000, 0.500, 0.500], [0.249, 0.000, 0.743], [0.257, 0.500, 0.260], [0.743, 0.500, 0.740], [0.751, 0.000, 0.257]], "space_group": "P2/m (10)", "e_tot_ev_per_atom": -6.42, "dos_at_fermi_per_ev_cell": 7.63}



Entry 6:
{"formula": "Te2Mo3WSe6", "functional": "PBE", "state": "optimized geometry", "lattice_angstrom": [[3.380, 0.000, 0.000], [-1.690, 2.928, 0.000], [0.000, 0.000, 28.698]], "species": ["Te", "Te", "Mo", "Mo", "Mo", "W", "Se", "Se", "Se", "Se", "Se", "Se"], "fractional_positions": [[0.000, 0.000, 0.000], [0.000, 0.000, 0.132], [0.000, 0.000, 0.322], [0.000, 0.000, 0.810], [0.333, 0.667, 0.567], [0.333, 0.667, 0.066], [0.000, 0.000, 0.510], [0.000, 0.000, 0.625], [0.333, 0.667, 0.265], [0.333, 0.667, 0.380], [0.333, 0.667, 0.753], [0.333, 0.667, 0.868]], "space_group": "P3m1 (156)", "raw_formation_energy_kj_per_mol_atoms": -49.3, "de_polymorph_ev_per_fu": 0.24}